1.
## GdTmH2 (PBE)

Data for a relaxed GdTmH2 crystal.

Computed properties:
Symmetry: R-3m
Uncorrected energy, eV/atom: -6.67

Cell lengths 3.4677, 3.4677, 5.9848 Å; angles 73.16, 73.16, 60.00 degrees
With the nearest neighbours (Å) after each atom.
Sites, in units of the cell vectors:
H1 0.2530 0.2530 0.2411  3 Tm 2.42, 3 Gd 2.48
H2 0.7470 0.7470 0.7589  3 Tm 2.42, 3 Gd 2.48
Gd1 0.5000 0.5000 0.5000  6 H 2.48
Tm1 0.0000 0.0000 0.0000  6 H 2.42

---

2.
## TiInGaCl6 (PBE)

Data for a relaxed TiInGaCl6 crystal.

Computed properties:
Symmetry: P312
Uncorrected energy, eV/atom: -3.97
Formation energy from raw total energies, eV/atom: -1.218

Cell lengths 6.9848, 6.9845, 6.5029 Å; angles 90.01, 89.99, 59.99 degrees
With the nearest neighbours (Å) after each atom.
Sites, in units of the cell vectors:
Cl1 0.6074 0.0511 0.2898  1 Ti 2.38
Cl2 0.0510 0.6074 0.7102  1 Ti 2.38
Cl3 0.6073 0.3415 0.7102  1 Ti 2.38
Cl4 0.3415 0.0511 0.7102  1 Ti 2.38
Cl5 0.3415 0.6074 0.2898  1 Ti 2.38
Cl6 0.0511 0.3415 0.2898  1 Ti 2.38
Ti1 0.3333 0.3334 0.5000  6 Cl 2.38
Ga1 0.6667 0.6667 0.5000  6 Cl 2.85
In1 0.0000 0.0000 0.0000  6 Cl 3.20

---

3.
## CaHN2O (PBE)

Data for a relaxed CaHN2O crystal.

Computed properties:
Symmetry: P4/mmm
Uncorrected energy, eV/atom: -4.73

Cell lengths 3.1630, 3.1630, 4.9383 Å; angles 90.00, 90.00, 90.00 degrees
With the nearest neighbours (Å) after each atom.
Sites, in units of the cell vectors:
N1 0.0000 0.5000 0.0000  2 H 1.58
N2 0.5000 0.0000 0.0000  2 H 1.58
O1 0.0000 0.0000 0.5000  4 Ca 2.24, 2 H 2.47
H1 0.0000 0.0000 0.0000  4 N 1.58
Ca1 0.5000 0.5000 0.5000  4 O 2.24

---

4.
## KLaZr2 (PBE)

Data for a relaxed KLaZr2 crystal.

Computed properties:
Symmetry: I-4m2
Uncorrected energy, eV/atom: -4.97
ΔH_f (0 K), eV/f.u.: 3.240
Energy above the lowest structure with this stoichiometry, eV/f.u.: 1.95

Cell lengths 5.7774, 5.7774, 5.7774 Å; angles 127.27, 127.27, 77.81 degrees
With the nearest neighbours (Å) after each atom.
Sites, in units of the cell vectors:
Zr1 0.0000 0.0000 0.0000  4 Zr 3.41, 4 La 3.41, 4 K 3.63
Zr2 0.2500 0.7500 0.5000  4 Zr 3.41, 4 K 3.41, 4 La 3.63
La1 0.7500 0.2500 0.5000  8 Zr 3.41-3.63, 4 K 3.41
K1 0.5000 0.5000 0.0000  4 La 3.41, 8 Zr 3.41-3.63

---

Copy entry 3 word for word.
## CaHN2O (PBE)

Data for a relaxed CaHN2O crystal.

Computed properties:
Symmetry: P4/mmm
Uncorrected energy, eV/atom: -4.73

Cell lengths 3.1630, 3.1630, 4.9383 Å; angles 90.00, 90.00, 90.00 degrees
With the nearest neighbours (Å) after each atom.
Sites, in units of the cell vectors:
N1 0.0000 0.5000 0.0000  2 H 1.58
N2 0.5000 0.0000 0.0000  2 H 1.58
O1 0.0000 0.0000 0.5000  4 Ca 2.24, 2 H 2.47
H1 0.0000 0.0000 0.0000  4 N 1.58
Ca1 0.5000 0.5000 0.5000  4 O 2.24